No. 1
LaPr2Pd after structural relaxation. Source: Alexandria via LeMat-Bulk, functional PBE-GGA.

a b c (Å): 4.8148 4.8148 17.8181
angles (deg): 90.00 90.00 120.00
Space group R-3m (No. 166, hexagonal axes)
Unique sites:
La 0.0000 0.0000 0.0000 [3 per cell]
Pr 0.0000 0.0000 0.2328 [6 per cell]
Pd 0.0000 0.0000 0.5000 [3 per cell]

Values from the calculation:
The value obtained for the density of states at the Fermi level is 1.374 states/eV/atom. The value obtained for the distance to the lowest polymorph of the same formula is 122 kJ/mol of formula units. The calculated formation energy comes out at -0.090 eV per atom. The value obtained for the total magnetization is 0.00 μB/f.u.

---

No. 2
NbZnNi after structural relaxation. Source: Alexandria via LeMat-Bulk, functional PBE-GGA.

a b c (Å): 4.3252 4.3252 5.2535
angles (deg): 90.00 90.00 120.00
Space group P6/mmm (No. 191)
Unique sites:
Nb 0.0000 0.0000 0.2361 [2 per cell]
Zn 0.3333 0.6667 0.5000 [2 per cell]
Ni 0.3333 0.6667 0.0000 [2 per cell]

Values from the calculation:
The value obtained for the density of states at the Fermi level is 0.360 states/eV/atom. The calculated formation energy comes out at -0.155 eV per atom. The value obtained for the total magnetization is 0.00 μB/f.u.

---

No. 3
Tb2Y3ThSe6 after structural relaxation. Source: Alexandria via LeMat-Bulk, functional PBE-GGA.

a b c (Å): 17.919 4.095 8.264
angles (deg): 90.00 103.15 90.00
Space group C2/m (No. 12)
Unique sites:
Tb 0.164 0.000 0.329 [4 per cell]
Y 0.000 0.500 0.500 [2 per cell]
Y 0.162 0.000 0.834 [4 per cell]
Th 0.000 0.500 0.000 [2 per cell]
Se 0.000 0.000 0.261 [4 per cell]
Se 0.168 0.500 0.584 [4 per cell]
Se 0.172 0.500 0.086 [4 per cell]

Values from the calculation:
For the uncorrected formation energy, the calculation gives -166.1 kJ per mole of atoms. The value obtained for the density of states at the Fermi level is 0.575 states/eV/atom. The value obtained for the total magnetization is 0.00 μB/f.u.